Computed, not measured: a relaxed structure of LiAcWO4 at the GGA+U level of DFT.

abc: 6.5959 8.0536 9.4879
angles: 90.00 90.00 90.00
Last column: nearest neighbours and their distance in Å.
Space group Imma (No. 74)
Symmetry-distinct sites (fractional):
Li 0.0000 0.2500 0.0277 (multiplicity 4)  2 O 1.86
Ac 0.0000 0.0000 0.5000 (multiplicity 4)  6 O 2.49-2.54
W 0.2500 0.2500 0.7500 (multiplicity 4)  6 O 2.09-2.12
O 0.0000 0.0842 0.7527 (multiplicity 8)  2 W 2.12
O 0.2304 0.2500 0.5300 (multiplicity 8)  1 Li 1.86

Calculated values
Crystal system: orthorhombic
Final energy (eV/atom): -7.111
Volume (Å³ per cell): 504.0
Total magnetic moment (μB per atom): 0.286